Entry 1:
KBaSb | Alexandria | PBE | relaxed; DOS at the Fermi energy = 0.180 states/eV/cell; SG = P3m1; raw total energy = -2.96 eV per atom; crystal system = trigonal; E_form (uncorrected) = -0.578 eV/atom
1.0
-2.839 1.014 -4.587
4.438 -3.225 -0.176
-3.090 -4.304 0.961
Ba Sb K
1 1 1
Direct
0.000 0.000 0.926
0.333 0.667 0.676
0.667 0.333 0.399

***

Entry 2:
MnNi2RuN | Alexandria | PBE | relaxed; DOS at the Fermi energy = 2.970 states/eV/cell; SG = P4/mmm; raw total energy = -7.60 eV per atom; crystal system = tetragonal; E_form (uncorrected) = 0.070 eV/atom
1.0
3.841 0.000 0.000
0.000 3.841 0.000
0.000 0.000 3.942
N Ru Ni Mn
1 1 2 1
Direct
0.000 0.000 0.000
0.000 0.000 0.500
0.000 0.500 0.000
0.500 0.000 0.000
0.500 0.500 0.500

***

Entry 3:
Pu3Pa2N4 | Alexandria | PBE | relaxed; DOS at the Fermi energy = 18.179 states/eV/cell; SG = C2/m; raw total energy = -11.82 eV per atom; crystal system = monoclinic; E_form (uncorrected) = -1.229 eV/atom
1.0
3.520 0.000 0.004
-1.760 3.048 -0.004
-0.001 0.000 14.183
Pa Pu N
2 3 4
Direct
0.667 0.333 0.802
0.333 0.667 0.198
0.000 0.000 0.000
0.334 0.666 0.606
0.666 0.334 0.394
0.001 0.999 0.705
0.999 0.001 0.295
0.334 0.666 0.897
0.666 0.334 0.103

***

Entry 4:
YZn2Cu9 | Alexandria | PBE | relaxed; DOS at the Fermi energy = 9.452 states/eV/cell; SG = I4_1/amd; E_form = -117 meV/atom; raw total energy = -3.94 eV per atom; crystal system = tetragonal
1.0
-3.788 3.527 4.073
-7.047 1.933 -2.903
-4.644 -4.264 4.698
Cu Zn Y
18 4 2
Direct
0.739 0.585 0.830
0.676 0.585 0.170
0.074 0.915 0.330
0.318 0.670 0.085
0.432 0.415 0.830
0.596 0.330 0.085
0.011 0.915 0.670
0.596 0.085 0.330
0.432 0.830 0.415
0.750 0.500 0.500
0.154 0.415 0.170
0.000 0.000 0.000
0.676 0.170 0.585
0.011 0.670 0.915
0.318 0.085 0.670
0.154 0.170 0.415
0.739 0.830 0.585
0.074 0.330 0.915
0.875 0.750 0.250
0.875 0.250 0.250
0.375 0.750 0.750
0.875 0.250 0.750
0.500 0.000 0.000
0.250 0.500 0.500

***

Entry 5:
Ac4Pm3SmS8 | Alexandria | PBE | relaxed; DOS at the Fermi energy = 7.754 states/eV/cell; SG = R-3m; raw total energy = -6.28 eV per atom; crystal system = trigonal; E_form (uncorrected) = -2.008 eV/atom
1.0
-7.703 -2.152 2.231
2.323 -8.028 0.276
4.176 5.653 4.420
Ac S Pm Sm
4 8 3 1
Direct
0.000 0.000 0.500
0.500 0.000 0.000
0.000 0.000 0.000
0.500 0.000 0.500
0.243 0.731 0.486
0.256 0.269 0.512
0.745 0.731 0.988
0.255 0.269 0.012
0.744 0.731 0.488
0.757 0.269 0.514
0.757 0.269 0.012
0.243 0.731 0.988
0.500 0.500 0.500
0.500 0.500 0.000
0.000 0.500 0.500
0.000 0.500 0.000

***

Entry 6:
KCd4P3 | Alexandria | PBE | relaxed; DOS at the Fermi energy = 0.637 states/eV/cell; SG = R-3m; E_form = -185 meV/atom; raw total energy = -2.81 eV per atom; crystal system = trigonal
1.0
12.213 0.013 0.008
11.415 4.343 0.008
11.415 2.104 3.799
K P Cd
1 3 4
Direct
0.500 0.500 0.500
0.000 0.000 0.000
0.229 0.229 0.229
0.771 0.771 0.771
0.302 0.302 0.302
0.698 0.698 0.698
0.090 0.090 0.090
0.910 0.910 0.910

***

Entry 7:
SrNiMo2 | Alexandria | PBE | relaxed; DOS at the Fermi energy = 3.520 states/eV/cell; SG = P4/mmm; E_form = 901 meV/atom; raw total energy = -6.38 eV per atom; crystal system = tetragonal
1.0
3.796 0.000 0.000
0.000 3.796 0.000
0.000 0.000 5.213
Mo Ni Sr
2 1 1
Direct
0.000 0.000 0.000
0.500 0.500 0.000
0.500 0.000 0.500
0.000 0.500 0.500

***

Entry 8:
LaMgMo2 | Alexandria | PBE | relaxed; DOS at the Fermi energy = 4.638 states/eV/cell; SG = C2/m; E_form = 513 meV/atom; raw total energy = -6.53 eV per atom; crystal system = monoclinic
1.0
-1.770 2.897 -4.049
-4.166 2.898 -1.471
1.082 5.423 1.004
Mo Mg La
2 1 1
Direct
0.501 0.501 0.404
0.999 0.999 0.096
0.250 0.250 0.250
0.750 0.750 0.750

***

Entry 9:
NdCu12Pt6 | Alexandria | PBE | relaxed; DOS at the Fermi energy = 11.051 states/eV/cell; SG = R-3m; E_form = 12 meV/atom; raw total energy = -4.73 eV per atom; crystal system = trigonal
1.0
6.920 0.031 0.044
-1.685 6.712 0.044
-1.685 -2.171 6.351
Cu Pt Nd
12 6 1
Direct
0.893 0.500 0.107
0.371 0.371 0.112
0.893 0.107 0.500
0.500 0.107 0.893
0.629 0.888 0.629
0.107 0.500 0.893
0.500 0.893 0.107
0.629 0.629 0.888
0.107 0.893 0.500
0.888 0.629 0.629
0.371 0.112 0.371
0.112 0.371 0.371
0.291 0.291 0.696
0.696 0.291 0.291
0.709 0.304 0.709
0.291 0.696 0.291
0.304 0.709 0.709
0.709 0.709 0.304
0.000 0.000 0.000

***

Entry 10:
Li2SbPtPb | Alexandria | PBE | relaxed; DOS at the Fermi energy = 5.307 states/eV/cell; SG = P4/mmm; raw total energy = -2.86 eV per atom; crystal system = tetragonal; E_form (uncorrected) = 0.676 eV/atom
1.0
-0.377 4.122 2.468
-2.612 -2.805 4.285
4.277 -0.840 2.057
Pb Pt Sb Li
1 1 1 2
Direct
0.000 0.000 0.000
0.500 0.500 0.500
0.000 0.500 0.000
0.000 0.000 0.500
0.500 0.000 0.000

***

Entry 11:
CaTl8Cd2 | Alexandria | PBE | relaxed; DOS at the Fermi energy = 5.838 states/eV/cell; SG = C2/m; E_form = -3 meV/atom; raw total energy = -2.07 eV per atom; crystal system = monoclinic
1.0
-3.632 4.212 -0.202
-8.216 -2.766 1.845
-2.969 -0.062 7.977
Ca Cd Tl
1 2 8
Direct
0.500 0.000 0.000
0.000 0.315 0.371
0.000 0.685 0.629
0.116 0.913 0.768
0.884 0.319 0.768
0.315 0.396 0.000
0.685 0.604 0.000
0.500 0.229 0.542
0.116 0.681 0.232
0.500 0.771 0.458
0.884 0.087 0.232

***

Entry 12:
BaLi2Ca2Pb2 | Alexandria | PBE | relaxed; DOS at the Fermi energy = 0.405 states/eV/cell; SG = R-3m; E_form = -469 meV/atom; raw total energy = -2.92 eV per atom; crystal system = trigonal
1.0
5.145 0.000 0.000
2.572 4.455 0.000
2.572 1.485 9.805
Pb Ca Li Ba
2 2 2 1
Direct
0.751 0.751 0.748
0.249 0.249 0.252
0.869 0.869 0.394
0.131 0.131 0.606
0.415 0.415 0.756
0.585 0.585 0.244
0.000 0.000 0.000

***

Entry 13:
TiOF2 | Alexandria | PBE | relaxed; DOS at the Fermi energy = 6.991 states/eV/cell; SG = I-42d; raw total energy = -6.14 eV per atom; crystal system = tetragonal; E_form (uncorrected) = -1.988 eV/atom
1.0
-0.412 0.236 3.182
3.168 -0.353 0.436
2.237 7.135 1.387
F Ti O
4 2 2
Direct
0.375 0.336 0.750
0.664 0.125 0.250
0.875 0.914 0.750
0.086 0.625 0.250
0.000 0.000 0.000
0.750 0.250 0.500
0.250 0.750 0.500
0.500 0.500 0.000

***

Entry 14:
Lu3H | Alexandria | PBE | relaxed; DOS at the Fermi energy = 5.104 states/eV/cell; SG = Imm2; raw total energy = -4.22 eV per atom; crystal system = orthorhombic
1.0
3.270 0.000 0.000
0.000 5.726 0.000
-1.635 -2.863 4.760
Lu H
3 1
Direct
0.320 0.700 0.640
0.500 0.363 0.000
0.680 0.060 0.360
0.000 0.044 0.000